# 1
The following is a PBE calculation of a relaxed Hf2CoTc crystal, from OQMD via LeMat-Bulk.

Unit cell a=6.405 b=4.533 c=9.063 alpha=90.00 beta=90.00 gamma=90.00
Atoms (fractional coordinates):
Tc1 0.250 0.250 0.625
Tc2 0.750 0.750 0.875
Tc3 0.250 0.250 0.125
Tc4 0.750 0.750 0.375
Hf1 0.000 0.250 0.875
Hf2 0.000 0.750 0.625
Hf3 0.500 0.250 0.875
Hf4 0.500 0.750 0.125
Hf5 0.000 0.750 0.125
Hf6 0.500 0.250 0.375
Hf7 0.000 0.250 0.375
Hf8 0.500 0.750 0.625
Co1 0.250 0.750 0.875
Co2 0.250 0.750 0.375
Co3 0.750 0.250 0.625
Co4 0.750 0.250 0.125

Summary:
ΔE_f ... -494 meV per atom
Crystal system ... cubic
Symmetry ... Fm-3m, No. 225
Energy above the lowest structure with this stoichiometry ... 0 meV per atom

# 2
The following is a PBE calculation of a relaxed InNi3P5 crystal, from OQMD via LeMat-Bulk.

Unit cell a=4.816 b=4.816 c=7.130 alpha=90.00 beta=90.00 gamma=120.00
Atoms (fractional coordinates):
Ni1 0.000 0.500 0.500
Ni2 0.500 0.000 0.500
Ni3 0.500 0.500 0.500
P1 0.667 0.333 0.763
P2 0.000 0.000 0.500
P3 0.333 0.667 0.763
P4 0.667 0.333 0.237
P5 0.333 0.667 0.237
In1 0.000 0.000 0.000

Summary:
Crystal system ... hexagonal
VASP energy ... -5.121 eV per atom
Symmetry ... P6/mmm, No. 191

# 3
The following is a PBE calculation of a relaxed NdHfAl2Pd4 crystal, from OQMD via LeMat-Bulk.

Unit cell a=4.352 b=4.352 c=9.038 alpha=90.00 beta=90.00 gamma=120.00
Atoms (fractional coordinates):
Hf1 0.000 0.000 0.000
Al1 0.333 0.667 0.771
Al2 0.333 0.667 0.229
Pd1 0.667 0.333 0.847
Pd2 0.000 0.000 0.689
Pd3 0.667 0.333 0.153
Pd4 0.000 0.000 0.311
Nd1 0.667 0.333 0.500

Summary:
Crystal system ... hexagonal
VASP energy ... -6.200 eV per atom
Symmetry ... P-6m2, No. 187

# 4
The following is a PBE calculation of a relaxed Nb crystal, from OQMD via LeMat-Bulk.

Unit cell a=10.054 b=10.054 c=10.054 alpha=31.55 beta=31.55 gamma=31.55
Atoms (fractional coordinates):
Nb1 0.000 0.000 0.000
Nb2 0.456 0.456 0.456
Nb3 0.909 0.909 0.414
Nb4 0.544 0.544 0.544
Nb5 0.648 0.648 0.648
Nb6 0.586 0.091 0.091
Nb7 0.414 0.909 0.909
Nb8 0.168 0.168 0.168
Nb9 0.832 0.832 0.832
Nb10 0.091 0.586 0.091
Nb11 0.909 0.414 0.909
Nb12 0.091 0.091 0.586
Nb13 0.352 0.352 0.352

Summary:
ΔE_f ... 174 meV per atom
Crystal system ... trigonal
Symmetry ... R-3m, No. 166
Energy above the lowest structure with this stoichiometry ... 174 meV per atom

# 5
The following is a PBE calculation of a relaxed Tl2CuTcCl6 crystal, from OQMD via LeMat-Bulk.

Unit cell a=6.952 b=6.952 c=6.952 alpha=60.00 beta=60.00 gamma=60.00
Atoms (fractional coordinates):
Cu1 0.000 0.000 0.000
Cl1 0.254 0.746 0.254
Cl2 0.746 0.254 0.746
Cl3 0.254 0.746 0.746
Cl4 0.254 0.254 0.746
Cl5 0.746 0.254 0.254
Cl6 0.746 0.746 0.254
Tc1 0.500 0.500 0.500
Tl1 0.250 0.250 0.250
Tl2 0.750 0.750 0.750

Summary:
Crystal system ... cubic
VASP energy ... -3.668 eV per atom
Symmetry ... Fm-3m, No. 225

# 6
The following is a PBE calculation of a relaxed NiHgB crystal, from OQMD via LeMat-Bulk.

Unit cell a=3.837 b=3.837 c=3.837 alpha=60.00 beta=60.00 gamma=60.00
Atoms (fractional coordinates):
Hg1 0.250 0.250 0.250
Ni1 0.750 0.750 0.750
B1 0.000 0.000 0.000

Summary:
Crystal system ... cubic
Symmetry ... F-43m, No. 216
Energy above the lowest structure with this stoichiometry ... 0 meV per atom

# 7
The following is a PBE calculation of a relaxed TaInCoPt crystal, from OQMD via LeMat-Bulk.

Unit cell a=4.473 b=4.473 c=4.473 alpha=60.00 beta=60.00 gamma=60.00
Atoms (fractional coordinates):
Pt1 0.500 0.500 0.500
In1 0.000 0.000 0.000
Co1 0.750 0.750 0.750
Ta1 0.250 0.250 0.250

Summary:
Crystal system ... cubic
Symmetry ... F-43m, No. 216
Energy above the lowest structure with this stoichiometry ... 244 meV per atom

# 8
The following is a PBE calculation of a relaxed Ge5Mo3Au crystal, from OQMD via LeMat-Bulk.

Unit cell a=5.363 b=5.363 c=6.807 alpha=90.00 beta=90.00 gamma=120.00
Atoms (fractional coordinates):
Mo1 0.000 0.500 0.500
Mo2 0.500 0.500 0.500
Mo3 0.500 0.000 0.500
Ge1 0.333 0.667 0.183
Ge2 0.000 0.000 0.500
Ge3 0.333 0.667 0.817
Ge4 0.667 0.333 0.183
Ge5 0.667 0.333 0.817
Au1 0.000 0.000 0.000

Summary:
Crystal system ... hexagonal
VASP energy ... -6.333 eV per atom
Symmetry ... P6/mmm, No. 191

# 9
The following is a PBE calculation of a relaxed Cs2ZnI4 crystal, from OQMD via LeMat-Bulk.

Unit cell a=19.720 b=8.236 c=18.855 alpha=90.00 beta=90.00 gamma=90.00
Atoms (fractional coordinates):
I1 0.392 0.515 0.599
I2 0.808 0.250 0.333
I3 0.617 0.250 0.937
I4 0.117 0.250 0.563
I5 0.115 0.991 0.365
I6 0.383 0.750 0.063
I7 0.308 0.250 0.167
I8 0.608 0.015 0.401
I9 0.892 0.515 0.901
I10 0.608 0.485 0.401
I11 0.115 0.509 0.365
I12 0.885 0.491 0.635
I13 0.202 0.750 0.921
I14 0.392 0.985 0.599
I15 0.385 0.491 0.865
I16 0.095 0.250 0.824
I17 0.692 0.750 0.833
I18 0.615 0.991 0.135
I19 0.595 0.250 0.676
I20 0.905 0.750 0.176
I21 0.883 0.750 0.437
I22 0.798 0.250 0.079
I23 0.885 0.009 0.635
I24 0.405 0.750 0.324
I25 0.108 0.485 0.099
I26 0.702 0.750 0.579
I27 0.892 0.985 0.901
I28 0.298 0.250 0.421
I29 0.192 0.750 0.667
I30 0.385 0.009 0.865
I31 0.108 0.015 0.099
I32 0.615 0.509 0.135
Cs1 0.776 0.750 0.028
Cs2 0.553 0.750 0.961
Cs3 0.751 0.250 0.784
Cs4 0.053 0.750 0.539
Cs5 0.447 0.250 0.039
Cs6 0.749 0.750 0.284
Cs7 0.251 0.250 0.716
Cs8 0.276 0.750 0.472
Cs9 0.947 0.250 0.461
Cs10 0.545 0.750 0.708
Cs11 0.224 0.250 0.972
Cs12 0.955 0.250 0.208
Cs13 0.724 0.250 0.528
Cs14 0.249 0.750 0.216
Cs15 0.045 0.750 0.792
Cs16 0.455 0.250 0.292
Zn1 0.345 0.750 0.931
Zn2 0.368 0.250 0.540
Zn3 0.845 0.750 0.569
Zn4 0.655 0.250 0.069
Zn5 0.155 0.250 0.431
Zn6 0.868 0.250 0.960
Zn7 0.132 0.750 0.040
Zn8 0.632 0.750 0.460

Summary:
Crystal system ... orthorhombic
Symmetry ... Pnma, No. 62
Energy above the lowest structure with this stoichiometry ... 108 meV per atom

# 10
The following is a PBE calculation of a relaxed Cd2H2SO6 crystal, from OQMD via LeMat-Bulk.

Unit cell a=6.899 b=7.526 c=11.371 alpha=90.00 beta=119.95 gamma=90.00
Atoms (fractional coordinates):
O1 0.159 0.095 0.315
O2 0.456 0.943 0.626
O3 0.841 0.905 0.685
O4 0.977 0.306 0.024
O5 0.248 0.477 0.639
O6 0.317 0.073 0.877
O7 0.977 0.194 0.524
O8 0.752 0.523 0.361
O9 0.701 0.300 0.194
O10 0.456 0.557 0.126
O11 0.248 0.023 0.139
O12 0.317 0.427 0.377
O13 0.544 0.057 0.374
O14 0.752 0.977 0.861
O15 0.683 0.927 0.123
O16 0.701 0.200 0.694
O17 0.159 0.405 0.815
O18 0.544 0.443 0.874
O19 0.299 0.700 0.806
O20 0.841 0.595 0.185
O21 0.299 0.800 0.306
O22 0.683 0.573 0.623
O23 0.023 0.806 0.476
O24 0.023 0.694 0.976
Cd1 0.155 0.968 0.668
Cd2 0.324 0.835 0.002
Cd3 0.155 0.532 0.168
Cd4 0.324 0.665 0.502
Cd5 0.676 0.335 0.498
Cd6 0.845 0.468 0.832
Cd7 0.845 0.032 0.332
Cd8 0.676 0.165 0.998
S1 0.311 0.994 0.283
S2 0.689 0.494 0.217
S3 0.689 0.006 0.717
S4 0.311 0.506 0.783
H1 0.914 0.709 0.451
H2 0.914 0.791 0.951
H3 0.086 0.291 0.549
H4 0.768 0.817 0.133
H5 0.232 0.317 0.367
H6 0.232 0.183 0.867
H7 0.086 0.209 0.049
H8 0.768 0.683 0.633

Summary:
Crystal system ... monoclinic
VASP energy ... -5.107 eV per atom
Symmetry ... P2_1/c, No. 14

# 11
The following is a PBE calculation of a relaxed TcCl2O crystal, from OQMD via LeMat-Bulk.

Unit cell a=6.888 b=6.888 c=6.765 alpha=105.42 beta=105.42 gamma=31.38
Atoms (fractional coordinates):
Cl1 0.871 0.871 0.930
Cl2 0.857 0.857 0.422
Cl3 0.143 0.143 0.578
Cl4 0.129 0.129 0.070
O1 0.500 0.500 0.266
O2 0.500 0.500 0.734
Tc1 0.000 0.000 0.266
Tc2 0.000 0.000 0.734

Summary:
Crystal system ... monoclinic
VASP energy ... -5.700 eV per atom
Symmetry ... C2/m, No. 12

# 12
The following is a PBE calculation of a relaxed LaPrNi2B2P2 crystal, from OQMD via LeMat-Bulk.

Unit cell a=4.059 b=4.059 c=7.943 alpha=90.00 beta=90.00 gamma=90.00
Atoms (fractional coordinates):
La1 0.000 0.000 0.796
B1 0.500 0.500 0.588
B2 0.000 0.000 0.413
P1 0.000 0.000 0.169
P2 0.500 0.500 0.833
Pr1 0.500 0.500 0.203
Ni1 0.500 0.000 0.499
Ni2 0.000 0.500 0.499

Summary:
Crystal system ... tetragonal
VASP energy ... -6.337 eV per atom
Symmetry ... P4mm, No. 99

Copy entry 9 word for word.
The following is a PBE calculation of a relaxed Cs2ZnI4 crystal, from OQMD via LeMat-Bulk.

Unit cell a=19.720 b=8.236 c=18.855 alpha=90.00 beta=90.00 gamma=90.00
Atoms (fractional coordinates):
I1 0.392 0.515 0.599
I2 0.808 0.250 0.333
I3 0.617 0.250 0.937
I4 0.117 0.250 0.563
I5 0.115 0.991 0.365
I6 0.383 0.750 0.063
I7 0.308 0.250 0.167
I8 0.608 0.015 0.401
I9 0.892 0.515 0.901
I10 0.608 0.485 0.401
I11 0.115 0.509 0.365
I12 0.885 0.491 0.635
I13 0.202 0.750 0.921
I14 0.392 0.985 0.599
I15 0.385 0.491 0.865
I16 0.095 0.250 0.824
I17 0.692 0.750 0.833
I18 0.615 0.991 0.135
I19 0.595 0.250 0.676
I20 0.905 0.750 0.176
I21 0.883 0.750 0.437
I22 0.798 0.250 0.079
I23 0.885 0.009 0.635
I24 0.405 0.750 0.324
I25 0.108 0.485 0.099
I26 0.702 0.750 0.579
I27 0.892 0.985 0.901
I28 0.298 0.250 0.421
I29 0.192 0.750 0.667
I30 0.385 0.009 0.865
I31 0.108 0.015 0.099
I32 0.615 0.509 0.135
Cs1 0.776 0.750 0.028
Cs2 0.553 0.750 0.961
Cs3 0.751 0.250 0.784
Cs4 0.053 0.750 0.539
Cs5 0.447 0.250 0.039
Cs6 0.749 0.750 0.284
Cs7 0.251 0.250 0.716
Cs8 0.276 0.750 0.472
Cs9 0.947 0.250 0.461
Cs10 0.545 0.750 0.708
Cs11 0.224 0.250 0.972
Cs12 0.955 0.250 0.208
Cs13 0.724 0.250 0.528
Cs14 0.249 0.750 0.216
Cs15 0.045 0.750 0.792
Cs16 0.455 0.250 0.292
Zn1 0.345 0.750 0.931
Zn2 0.368 0.250 0.540
Zn3 0.845 0.750 0.569
Zn4 0.655 0.250 0.069
Zn5 0.155 0.250 0.431
Zn6 0.868 0.250 0.960
Zn7 0.132 0.750 0.040
Zn8 0.632 0.750 0.460

Summary:
Crystal system ... orthorhombic
Symmetry ... Pnma, No. 62
Energy above the lowest structure with this stoichiometry ... 108 meV per atom